{"formula": "Ce6TcC2Cl3", "functional": "GGA-PBE", "state": "relaxed", "lattice_angstrom": [[3.730, 0.000, 0.000], [0.000, 8.595, -0.253], [-1.865, -3.032, 8.467]], "species": ["Ce", "Ce", "Ce", "Ce", "Ce", "Ce", "Cl", "Cl", "Cl", "C", "C", "Tc"], "frac_coords": [[0.340, 0.867, 0.680], [0.979, 0.749, 0.958], [0.319, 0.442, 0.638], [0.660, 0.133, 0.320], [0.681, 0.558, 0.362], [0.021, 0.251, 0.042], [0.500, 0.500, 0.000], [0.166, 0.834, 0.332], [0.834, 0.166, 0.668], [0.169, 0.342, 0.338], [0.831, 0.658, 0.662], [0.500, 0.000, 0.000]], "spacegroup": "No. 12", "formation_energy_uncorrected_ev_per_fu": -10.4, "crystal_system": "monoclinic", "magnetic_moment_mub_per_fu": 3.47, "dos_at_fermi_per_ev_atom": 1.865}



{"formula": "MnIn2Cl", "functional": "GGA-PBE", "state": "relaxed", "lattice_angstrom": [[-1.598, -7.467, -4.237], [0.309, -8.576, -1.620], [-3.054, -8.093, -1.203]], "species": ["Mn", "In", "In", "Cl"], "frac_coords": [[0.250, 0.250, 0.250], [0.506, 0.506, 0.506], [0.994, 0.994, 0.994], [0.750, 0.750, 0.750]], "spacegroup": "No. 166", "formation_energy_uncorrected_ev_per_fu": -0.1, "crystal_system": "trigonal", "magnetic_moment_mub_per_fu": 3.17, "de_polymorph_ev_per_atom": 0.119, "dos_at_fermi_per_ev_atom": 0.556}



{"formula": "TmZn2Cd9", "functional": "GGA-PBE", "state": "relaxed", "lattice_angstrom": [[6.754, 0.000, 3.110], [3.377, 8.346, 1.555], [-0.113, 0.000, 9.136]], "species": ["Cd", "Cd", "Cd", "Cd", "Cd", "Cd", "Cd", "Cd", "Cd", "Cd", "Cd", "Cd", "Cd", "Cd", "Cd", "Cd", "Cd", "Cd", "Zn", "Zn", "Zn", "Zn", "Tm", "Tm"], "frac_coords": [[0.000, 0.000, 0.000], [0.084, 0.929, 0.313], [0.326, 0.687, 0.071], [0.147, 0.187, 0.429], [0.987, 0.929, 0.687], [0.987, 0.687, 0.929], [0.424, 0.813, 0.429], [0.603, 0.313, 0.071], [0.666, 0.571, 0.187], [0.763, 0.571, 0.813], [0.603, 0.071, 0.313], [0.326, 0.071, 0.687], [0.750, 0.500, 0.500], [0.147, 0.429, 0.187], [0.763, 0.813, 0.571], [0.084, 0.313, 0.929], [0.424, 0.429, 0.813], [0.666, 0.187, 0.571], [0.875, 0.750, 0.250], [0.375, 0.750, 0.750], [0.875, 0.250, 0.750], [0.875, 0.250, 0.250], [0.500, 0.000, 0.000], [0.250, 0.500, 0.500]], "spacegroup": "No. 141", "crystal_system": "tetragonal", "magnetic_moment_mub_per_fu": 0.00, "formation_energy_ev_per_atom": -0.023, "dos_at_fermi_per_ev_atom": 0.335}



{"formula": "Pr2Sm4Er5", "functional": "GGA-PBE", "state": "relaxed", "lattice_angstrom": [[7.442, 0.000, 0.000], [3.721, 5.548, 0.714], [3.721, 1.632, 9.122]], "species": ["Er", "Er", "Er", "Er", "Er", "Sm", "Sm", "Sm", "Sm", "Pr", "Pr"], "frac_coords": [[0.348, 0.647, 0.220], [0.652, 0.353, 0.780], [0.214, 0.353, 0.780], [0.786, 0.647, 0.220], [0.000, 0.500, 0.500], [0.324, 0.226, 0.127], [0.679, 0.140, 0.503], [0.676, 0.774, 0.873], [0.321, 0.860, 0.497], [0.145, 0.837, 0.872], [0.855, 0.163, 0.128]], "spacegroup": "No. 12", "crystal_system": "monoclinic", "magnetic_moment_mub_per_fu": 0.00, "formation_energy_ev_per_atom": 0.123, "de_polymorph_ev_per_atom": 0.000, "dos_at_fermi_per_ev_atom": 1.551}